P | 36
Lattice="17.520 0.000 0.000 0.000 4.705 0.000 0.000 0.000 5.049" Properties=species:S:1:pos:R:3 comment="LiMn2OF5 | Alexandria via LeMat-Bulk | PBE with a Hubbard U | optimized geometry" crystal_system=orthorhombic space_group=Pca2_1 n_ef_per_ev_cell=17.9 vol_a3_per_cell=416 pbc="T T T"
Li 2.276 1.050 0.000
Li 6.484 1.050 2.524
Li 11.036 3.655 0.000
Li 15.244 3.655 2.524
Mn 0.511 1.044 2.450
Mn 3.428 3.432 2.492
Mn 5.332 3.432 5.016
Mn 8.249 1.044 4.975
Mn 9.271 3.661 2.450
Mn 12.188 1.273 2.492
Mn 14.092 1.273 5.016
Mn 17.009 3.661 4.975
O 0.675 0.038 0.866
O 8.085 0.038 3.391
O 9.435 4.667 0.866
O 16.845 4.667 3.391
F 0.779 2.197 4.027
F 2.048 2.130 1.658
F 2.227 4.680 3.346
F 3.632 4.507 0.898
F 3.784 2.417 4.142
F 4.976 2.417 1.617
F 5.128 4.507 3.423
F 6.533 4.680 0.821
F 6.712 2.130 4.183
F 7.981 2.197 1.502
F 9.539 2.508 4.027
F 10.808 2.575 1.658
F 10.987 0.025 3.346
F 12.392 0.198 0.898
F 12.544 2.288 4.142
F 13.736 2.288 1.617
F 13.888 0.198 3.423
F 15.293 0.025 0.821
F 15.472 2.575 4.183
F 16.741 2.508 1.502

Q | 36
Lattice="5.036 0.000 0.000 0.000 4.706 0.000 -0.424 0.000 17.396" Properties=species:S:1:pos:R:3 comment="LiMn2OF5 | Alexandria via LeMat-Bulk | PBE with a Hubbard U | optimized geometry" crystal_system=monoclinic space_group=Pc n_ef_per_ev_cell=7.4 vol_a3_per_cell=412 pbc="T T T"
Li 0.000 1.062 0.000
Li -0.212 3.643 8.698
Li 2.222 1.131 13.690
Li 2.434 3.574 4.992
Mn 2.359 1.291 7.850
Mn 2.147 3.415 16.548
Mn 2.537 1.118 1.974
Mn 2.325 3.588 10.672
Mn 4.658 1.428 11.882
Mn 4.870 3.277 3.185
Mn 4.884 1.265 5.858
Mn 4.672 3.440 14.556
O 4.042 2.257 1.879
O 3.830 2.448 10.577
O 4.074 2.337 4.552
O 3.861 2.368 13.250
F 0.605 0.217 7.345
F 0.393 4.489 16.043
F 0.493 0.226 13.209
F 0.705 4.479 4.512
F 0.734 0.121 10.574
F 0.947 4.585 1.876
F 1.453 2.274 3.263
F 1.241 2.431 11.961
F 1.457 2.285 6.081
F 1.245 2.420 14.779
F 1.607 2.086 0.442
F 1.395 2.620 9.140
F 3.264 0.223 6.098
F 3.052 4.483 14.796
F 3.407 0.067 0.463
F 3.195 4.639 9.161
F 3.171 0.220 11.965
F 3.383 4.486 3.267
F 3.814 2.300 16.162
F 4.026 2.405 7.464

Most stable structure: Q

P | 15
Lattice="5.174 0.000 0.000 -0.613 5.240 0.000 -1.873 -2.626 6.639" Properties=species:S:1:pos:R:3 comment="LiMnVP2O8F2 | Alexandria via LeMat-Bulk | PBE with a Hubbard U | optimized geometry" crystal_system=triclinic space_group=P1 vol_a3_per_cell=180 pbc="T T T"
Li 0.000 0.000 0.000
Mn 1.844 4.038 2.254
V -1.397 0.119 5.506
P 1.251 1.379 3.940
P 2.962 1.491 0.520
O -0.275 -1.274 6.427
O 0.082 1.053 4.935
O 1.338 0.270 2.887
O 0.900 2.743 3.338
O 3.389 0.117 1.114
O 2.971 2.631 1.540
O 2.249 -0.899 6.126
O 2.526 1.487 4.840
F 0.431 3.749 0.538
F 3.786 -0.856 3.902

Q | 15
Lattice="5.633 0.000 0.000 2.403 5.095 0.000 2.679 0.685 7.767" Properties=species:S:1:pos:R:3 comment="LiMnVP2O8F2 | Alexandria via LeMat-Bulk | PBE with a Hubbard U | optimized geometry" crystal_system=triclinic space_group=P1 n_ef_per_ev_cell=0.0 vol_a3_per_cell=223 pbc="T T T"
Li 0.000 0.000 0.000
Mn 5.037 4.663 1.241
V 8.994 3.667 5.753
P 6.434 2.877 7.275
P 7.831 4.358 3.044
O 3.055 4.987 1.943
O 5.036 3.129 5.060
O 5.116 2.429 6.374
O 6.511 4.395 7.399
O 3.460 1.419 0.770
O 6.360 4.299 2.736
O 8.178 4.880 4.457
O 7.713 2.333 6.564
F 2.689 2.829 3.175
F 9.229 4.714 7.387

Most stable structure: P

P | 18
Lattice="4.811 0.000 0.000 0.000 4.811 0.000 0.000 0.000 9.557" Properties=species:S:1:pos:R:3 comment="LiMnVF6 | Alexandria via LeMat-Bulk | PBE with a Hubbard U | optimized geometry" crystal_system=tetragonal space_group=P4_2nm n_ef_per_ev_cell=0.0 vol_a3_per_cell=221 pbc="T T T"
Li 0.000 0.000 0.000
Li 2.405 2.405 4.778
Mn 0.000 0.000 6.389
Mn 2.405 2.405 1.611
V 0.000 0.000 3.183
V 2.405 2.405 7.961
F 0.910 0.910 1.663
F 0.934 0.934 4.678
F 1.010 1.010 7.984
F 1.396 3.415 3.206
F 1.471 3.340 9.457
F 1.496 3.315 6.441
F 3.315 1.496 6.441
F 3.340 1.471 9.457
F 3.415 1.396 3.206
F 3.801 3.801 7.984
F 3.876 3.876 4.678
F 3.901 3.901 1.663

Q | 27
Lattice="8.862 0.000 0.000 -4.431 7.675 0.000 0.000 0.000 4.733" Properties=species:S:1:pos:R:3 comment="LiMnVF6 | Alexandria via LeMat-Bulk | PBE with a Hubbard U | optimized geometry" crystal_system=trigonal space_group=P321 n_ef_per_ev_cell=0.0 vol_a3_per_cell=322 pbc="T T T"
Li 0.000 0.000 0.000
Li 0.000 5.116 2.367
Li 4.431 2.558 2.365
Mn -2.870 4.971 0.000
Mn 1.561 2.704 0.000
Mn 5.740 0.000 0.000
V -1.398 2.421 2.366
V 2.796 0.000 2.366
V 3.033 5.253 2.366
F -0.031 1.705 1.133
F -1.400 4.092 1.281
F -2.939 6.849 1.133
F -1.519 5.990 3.427
F 0.003 3.364 3.427
F 1.492 0.826 3.599
F -0.187 6.841 1.281
F 2.912 1.685 1.306
F 1.587 4.416 1.281
F 4.244 0.834 3.452
F 1.516 5.995 3.427
F 3.031 3.583 3.452
F 2.970 6.795 1.133
F 5.947 1.679 1.306
F 4.434 4.310 1.306
F 4.400 5.969 3.599
F 6.018 3.258 3.452
F 7.401 0.879 3.599

Most stable structure: Q

P | 8
Lattice="-1.795 1.795 10.908 1.795 -1.795 10.908 1.795 1.795 -10.908" Properties=species:S:1:pos:R:3 comment="LiMo2F | Alexandria via LeMat-Bulk | PBE with a Hubbard U | optimized geometry" crystal_system=tetragonal space_group=I-42d n_ef_per_ev_cell=3.1 vol_a3_per_cell=141 pbc="T T T"
Li 0.000 0.000 0.000
Li 0.000 1.795 5.454
Mo 2.692 0.873 -2.727
Mo 0.873 0.897 2.727
Mo -0.897 0.922 8.181
Mo 0.922 0.897 13.635
F 1.795 0.000 5.454
F 0.000 0.000 10.908

Q | 4
Lattice="0.000 3.011 3.011 3.011 0.000 3.011 3.011 3.011 0.000" Properties=species:S:1:pos:R:3 comment="LiMo2F | Alexandria via LeMat-Bulk | PBE with a Hubbard U | optimized geometry" crystal_system=cubic space_group=Fm-3m n_ef_per_ev_cell=2.8 vol_a3_per_cell=55 pbc="T T T"
Li 0.000 0.000 0.000
Mo 1.506 1.506 1.506
Mo 4.517 4.517 4.517
F 3.011 3.011 3.011

Most stable structure: P

P | 5
Lattice="4.393 0.000 0.000 0.000 4.393 0.000 0.000 0.000 4.393" Properties=species:S:1:pos:R:3 comment="LiMoF3 | Alexandria via LeMat-Bulk | PBE with a Hubbard U | optimized geometry" crystal_system=cubic space_group=Pm-3m n_ef_per_ev_cell=1.6 vol_a3_per_cell=85 pbc="T T T"
Li 0.000 0.000 0.000
Mo 2.196 2.196 2.196
F 0.000 2.196 2.196
F 2.196 0.000 2.196
F 2.196 2.196 0.000

Q | 5
Lattice="3.794 0.000 0.000 0.000 3.794 0.000 0.000 0.000 3.794" Properties=species:S:1:pos:R:3 comment="LiMoF3 | Alexandria via LeMat-Bulk | PBE with a Hubbard U | optimized geometry" crystal_system=cubic space_group=Pm-3m n_ef_per_ev_cell=6.1 vol_a3_per_cell=55 pbc="T T T"
Li 0.000 0.000 0.000
Mo 1.897 1.897 1.897
F 0.000 0.000 1.897
F 0.000 1.897 0.000
F 1.897 0.000 0.000

Most stable structure: P

P | 10
Lattice="5.349 0.000 0.000 0.000 5.349 0.000 0.000 0.000 4.464" Properties=species:S:1:pos:R:3 comment="LiMo2F2 | Alexandria via LeMat-Bulk | PBE with a Hubbard U | optimized geometry" crystal_system=tetragonal space_group=P4/mbm n_ef_per_ev_cell=4.1 vol_a3_per_cell=128 pbc="T T T"
Li 0.000 0.000 0.000
Li 2.674 2.674 0.000
Mo 1.075 1.599 2.232
Mo 1.599 4.274 2.232
Mo 3.750 1.075 2.232
Mo 4.274 3.750 2.232
F 1.080 1.594 0.000
F 1.594 4.269 0.000
F 3.754 1.080 0.000
F 4.269 3.754 0.000

Q | 5
Lattice="-1.870 1.870 6.067 1.870 -1.870 6.067 1.870 1.870 -6.067" Properties=species:S:1:pos:R:3 comment="LiMo2F2 | Alexandria via LeMat-Bulk | PBE with a Hubbard U | optimized geometry" crystal_system=tetragonal space_group=I4/mmm n_ef_per_ev_cell=2.0 vol_a3_per_cell=85 pbc="T T T"
Li 0.000 0.000 0.000
Mo 1.870 0.000 3.034
Mo 0.000 1.870 3.034
F 0.000 0.000 4.798
F 0.000 0.000 7.337

Most stable structure: P

P | 5
Lattice="5.010 0.000 0.000 0.000 5.010 0.000 0.000 0.000 5.010" Properties=species:S:1:pos:R:3 comment="LiMo3F | Alexandria via LeMat-Bulk | PBE with a Hubbard U | optimized geometry" crystal_system=cubic space_group=Pm-3m n_ef_per_ev_cell=1.0 vol_a3_per_cell=126 pbc="T T T"
Li 0.000 0.000 0.000
Mo 0.000 0.000 2.505
Mo 0.000 2.505 0.000
Mo 2.505 0.000 0.000
F 2.505 2.505 2.505

Q | 5
Lattice="4.245 0.000 0.000 0.000 4.245 0.000 0.000 0.000 4.245" Properties=species:S:1:pos:R:3 comment="LiMo3F | Alexandria via LeMat-Bulk | PBE with a Hubbard U | optimized geometry" crystal_system=cubic space_group=Pm-3m n_ef_per_ev_cell=2.2 vol_a3_per_cell=76 pbc="T T T"
Li 0.000 0.000 0.000
Mo 0.000 2.123 2.123
Mo 2.123 0.000 2.123
Mo 2.123 2.123 0.000
F 2.123 2.123 2.123

Most stable structure: Q

P | 5
Lattice="3.725 0.000 0.000 0.000 3.725 0.000 0.000 0.000 3.295" Properties=species:S:1:pos:R:3 comment="LiMoN2F | Alexandria via LeMat-Bulk | PBE with a Hubbard U | optimized geometry" crystal_system=tetragonal space_group=P4/mmm n_ef_per_ev_cell=1.5 vol_a3_per_cell=46 pbc="T T T"
Li 0.000 0.000 0.000
Mo 1.862 1.862 1.648
N 0.000 1.862 0.000
N 1.862 0.000 0.000
F 0.000 0.000 1.648

Q | 5
Lattice="3.927 0.000 0.000 0.000 3.927 0.000 0.000 0.000 4.172" Properties=species:S:1:pos:R:3 comment="LiMoN2F | Alexandria via LeMat-Bulk | PBE with a Hubbard U | optimized geometry" crystal_system=tetragonal space_group=P4/mmm n_ef_per_ev_cell=1.1 vol_a3_per_cell=64 pbc="T T T"
Li 0.000 0.000 0.000
Mo 1.964 1.964 2.086
N 0.000 1.964 2.086
N 1.964 0.000 2.086
F 1.964 1.964 0.000

Most stable structure: Q

P | 10
Lattice="5.404 0.000 0.000 2.701 4.685 0.000 2.691 1.548 4.956" Properties=species:S:1:pos:R:3 comment="NaLi2MoF6 | Alexandria via LeMat-Bulk | PBE with a Hubbard U | optimized geometry" crystal_system=triclinic space_group=P1 n_ef_per_ev_cell=0.0 vol_a3_per_cell=125 pbc="T T T"
Na 0.000 0.000 0.000
Li 2.704 1.549 1.819
Li 8.095 4.683 4.117
Mo 5.397 3.115 2.352
F 4.492 4.706 3.416
F 3.758 2.979 1.059
F 4.462 1.537 3.413
F 6.099 4.602 1.053
F 7.221 3.105 3.425
F 6.342 1.759 1.069

Q | 10
Lattice="0.000 4.243 4.243 4.243 0.000 4.243 4.243 4.243 0.000" Properties=species:S:1:pos:R:3 comment="NaLi2MoF6 | Alexandria via LeMat-Bulk | PBE with a Hubbard U | optimized geometry" crystal_system=cubic space_group=Fm-3m n_ef_per_ev_cell=0.0 vol_a3_per_cell=153 pbc="T T T"
Na 0.000 0.000 0.000
Li 2.122 2.122 2.122
Li 6.365 6.365 6.365
Mo 4.243 4.243 4.243
F 4.243 4.243 2.169
F 4.243 2.169 4.243
F 6.317 4.243 4.243
F 2.169 4.243 4.243
F 4.243 6.317 4.243
F 4.243 4.243 6.317

Most stable structure: P